Record 1
DFT (GGA-PBE) results for a geometry-optimized Pr2Er12Zr structure.

Structure (extended XYZ):
```
30
Lattice="6.318 -1.397 -0.625 -1.397 6.318 -0.625 -1.624 -1.624 25.127" Properties=species:S:1:pos:R:3 pbc="T T T"
Pr 0.890 4.747 6.078
Pr 4.754 0.897 6.175
Pr -1.451 2.406 17.799
Pr 2.400 -1.457 17.701
Er 1.959 1.894 19.378
Er -0.567 -0.502 20.003
Er 2.332 2.688 22.626
Er -1.011 2.846 21.509
Er 4.217 4.213 7.123
Er 0.451 4.308 2.367
Er 3.188 -0.669 13.784
Er 1.753 1.756 7.749
Er 0.227 -0.129 23.251
Er 3.425 3.069 0.625
Er -0.016 -0.046 13.714
Er 3.966 0.109 10.093
Er -0.917 -0.920 16.753
Er 0.852 0.882 10.787
Er 0.609 0.965 1.250
Er 3.342 3.313 10.162
Er 2.415 2.445 13.089
Er 3.798 3.864 3.873
Er -0.693 3.164 13.763
Er 1.541 1.544 16.128
Er 2.824 -1.033 21.211
Er 1.403 1.338 4.498
Er 0.133 3.990 10.114
Er 4.330 0.473 2.665
Zr 1.639 5.496 -0.497
Zr -2.199 1.658 24.374
```

As for the space group: C2/m. The total magnetization comes out at 0.00 μB per atom. The formation energy comes out at 0.142 eV/atom.



Record 2
DFT (GGA-PBE) results for a geometry-optimized PrEr2Zr structure.

Structure (extended XYZ):
```
4
Lattice="3.470 0.000 0.000 1.735 3.005 0.000 1.735 1.002 11.330" Properties=species:S:1:pos:R:3 pbc="T T T"
Pr 3.470 2.004 5.651
Er 1.735 1.002 8.729
Er 1.735 1.002 2.608
Zr 3.470 2.004 0.007
```

As for the space group: R3m. The polymorph energy (0 for the lowest one) comes out at 0.00 eV per formula unit. The total magnetization comes out at 0.00 μB per atom. The formation energy comes out at 0.081 eV/atom.



| no. | VASP energy (eV/atom) |
| --- | --- |
| 1 | -4.7155 |
| 2 | -5.5326 |